No. 1
Computed, not measured: an optimized crystal structure of IrRuSe2 at the PBE level of DFT.

Cell and atoms, written as POSCAR:
```
IrRuSe2
1.0
3.640 0.000 0.000
0.000 2.724 -0.003
0.000 -0.353 8.045
Ir Se Ru
1 2 1
Direct
0.000 0.364 0.537
0.500 0.335 0.331
0.000 0.914 0.921
0.500 0.887 0.712
```

Calculated values
Space group = No. 6
E above lowest polymorph = 0 kJ/mol of formula units
E_form (uncorrected) = 0.20 eV/f.u.
Energy = -6.2274 eV per atom
Size of the total moment = 0.00 μB per formula unit

No. 2
Computed, not measured: an optimized crystal structure of Ti3CdIn2 at the PBE level of DFT.

Cell and atoms, written as POSCAR:
```
Ti3CdIn2
1.0
-0.106 -2.046 2.172
-1.904 -1.628 -1.626
9.859 -6.191 -5.347
Ti In Cd
3 2 1
Direct
0.000 0.000 0.000
0.000 0.000 0.334
0.000 0.000 0.666
0.500 0.500 0.833
0.500 0.500 0.167
0.500 0.500 0.500
```

Calculated values
Space group = No. 123
E_form = -0.0854 eV per atom
E above lowest polymorph = 0 kJ/mol of formula units
Energy = -5.0981 eV per atom
Size of the total moment = 0.44 μB per formula unit

No. 3
Computed, not measured: an optimized crystal structure of BaLiHfSn2 at the PBE level of DFT.

Cell and atoms, written as POSCAR:
```
BaLiHfSn2
1.0
5.152 0.000 0.000
0.000 5.118 0.000
0.000 0.000 5.152
Sn Hf Ba Li
2 1 1 1
Direct
0.000 0.000 0.500
0.500 0.000 0.000
0.000 0.500 0.000
0.500 0.500 0.500
0.000 0.000 0.000
```

Calculated values
Space group = No. 123
E_form = 0.2020 eV per atom
Energy = -4.1571 eV per atom
Size of the total moment = 1.11 μB per formula unit

Q: Which of these has the highest size of the total moment?
A: BaLiHfSn2

Q: The lowest energy belongs to which entry?
A: IrRuSe2

Q: energy of number 3 (BaLiHfSn2)?
A: -4.1571 eV per atom